[1]
First-principles (PBE) data for a relaxed AcPtO6 crystal, as listed in Alexandria.

Output
Total magnetization ... 0.000 μB per atom
Volume ... 314.9 Å³ per cell
Formation energy from raw total energies ... -686 kJ/mol of formula units
Total energy ... -141.04 eV per cell

a b c (Å): 7.1542 7.1542 7.1032
angles (deg): 90.00 90.00 120.00
With the nearest neighbours (Å) after each atom.
Space group R-3m (No. 166, hexagonal axes)
Asymmetric unit:
Ac  0.0000  0.0000  0.0000  12 O 2.60-2.84
Pt  0.0000  0.0000  0.5000  6 O 1.92
O  0.0860  0.5430  0.3293  1 Pt 1.92

[2]
First-principles (PBE) data for a relaxed TcNiAu2 crystal, as listed in Alexandria.

Output
Total magnetization ... 0.234 μB per atom
Volume ... 187.4 Å³ per cell
Energy of formation from the pure elements ... 0.220 eV per atom
Total energy ... -65.47 eV per cell

a b c (Å): 2.8126 2.8126 27.3502
angles (deg): 90.00 90.00 120.00
With the nearest neighbours (Å) after each atom.
Space group R3m (No. 160, hexagonal axes)
Asymmetric unit:
Tc  0.0000  0.0000  0.0000  3 Ni 2.52, 6 Tc 2.81
Ni  0.0000  0.0000  0.2627  3 Tc 2.52, 3 Au 2.74, 6 Ni 2.81
Au  0.0000  0.0000  0.5153  3 Ni 2.74, 9 Au 2.81-3.05
Au  0.0000  0.0000  0.7543  9 Au 2.81-3.05, 3 Tc 2.90

[3]
First-principles (PBE) data for a relaxed Mn4Nb5Re crystal, as listed in Alexandria.

Output
Total magnetization ... 0.000 μB per atom
Volume ... 149.3 Å³ per cell
Energy of formation from the pure elements ... -0.137 eV per atom
Total energy ... -100.84 eV per cell

a b c (Å): 3.1035 3.1035 15.5007
angles (deg): 90.00 90.00 90.00
With the nearest neighbours (Å) after each atom.
Space group P4/mmm (No. 123)
Asymmetric unit:
Mn  0.0000  0.0000  0.0985  8 Nb 2.67
Mn  0.0000  0.0000  0.2954  8 Nb 2.67-2.68
Nb  0.5000  0.5000  0.0000  8 Mn 2.67
Nb  0.5000  0.5000  0.1966  8 Mn 2.67-2.68
Nb  0.5000  0.5000  0.3941  4 Mn 2.67, 4 Re 2.74
Re  0.0000  0.0000  0.5000  8 Nb 2.74

[4]
First-principles (PBE) data for a relaxed NaPrAs2O8 crystal, as listed in Alexandria.

Output
Total magnetization ... 0.171 μB per atom
Volume ... 362.7 Å³ per cell
Formation energy from raw total energies ... -1795 kJ/mol of formula units
Total energy ... -147.34 eV per cell

a b c (Å): 7.4025 7.4025 6.6185
angles (deg): 90.00 90.00 90.00
With the nearest neighbours (Å) after each atom.
Space group I-4m2 (No. 119)
Asymmetric unit:
Na  0.0000  0.0000  0.0000  8 O 2.43-2.65
Pr  0.0000  0.5000  0.2500  8 O 2.42-2.58
As  0.0000  0.0000  0.5000  4 O 1.71
As  0.0000  0.5000  0.7500  4 O 1.72
O  0.0000  0.1845  0.3433  1 As 1.71
O  0.0000  0.3201  0.9153  1 As 1.72

[5]
First-principles (PBE) data for a relaxed CeTcC2 crystal, as listed in Alexandria.

Output
Total magnetization ... 0.122 μB per atom
Volume ... 153.8 Å³ per cell
Energy of formation from the pure elements ... 0.084 eV per atom
Total energy ... -103.23 eV per cell

a b c (Å): 3.2875 3.2875 16.4356
angles (deg): 90.00 90.00 120.00
With the nearest neighbours (Å) after each atom.
Space group R-3m (No. 166, hexagonal axes)
Asymmetric unit:
Ce  0.0000  0.0000  0.0000  6 C 2.50
Tc  0.0000  0.0000  0.5000  6 C 2.20
C  0.0000  0.0000  0.2347  3 Tc 2.20

[6]
First-principles (PBE) data for a relaxed NaCa2Sn crystal, as listed in Alexandria.

Output
Total magnetization ... 0.000 μB per atom
Volume ... 131.1 Å³ per cell
Energy of formation from the pure elements ... -0.316 eV per atom
Total energy ... -10.59 eV per cell

a b c (Å): 3.9420 3.9420 8.4335
angles (deg): 90.00 90.00 90.00
With the nearest neighbours (Å) after each atom.
Space group P4/mmm (No. 123)
Asymmetric unit:
Na  0.0000  0.0000  0.0000  8 Ca 3.68, 4 Na 3.94
Ca  0.5000  0.5000  0.2858  4 Sn 3.32, 1 Ca 3.61, 4 Na 3.68
Sn  0.0000  0.0000  0.5000  8 Ca 3.32

[7]
First-principles (PBE) data for a relaxed Pa2PO8 crystal, as listed in Alexandria.

Output
Total magnetization ... 0.096 μB per atom
Volume ... 166.4 Å³ per cell
Formation energy from raw total energies ... -2933 kJ/mol of formula units
Total energy ... -94.47 eV per cell

a b c (Å): 5.2550 5.8878 5.9918
angles (deg): 106.37 107.24 95.79
With the nearest neighbours (Å) after each atom.
Space group P1 (No. 1)
Asymmetric unit:
Pa  0.0000  0.0000  0.0000  2 O 1.91-2.09
Pa  0.0909  0.5816  0.5072  4 O 2.04-2.25
P  0.4289  0.5826  0.1191  4 O 1.53-1.59
O  0.2550  0.9185  0.7608  2 Pa 2.04-2.23
O  0.2787  0.7890  0.2176  1 P 1.59
O  0.3249  0.4840  0.8363  1 P 1.53
O  0.3476  0.3858  0.2282  1 P 1.56
O  0.7387  0.6813  0.2212  1 P 1.54
O  0.8144  0.2037  0.8383  1 Pa 1.91
O  0.8154  0.6684  0.7191  2 Pa 2.09-2.20
O  0.9229  0.2237  0.3272  2 Pa 2.04-2.21

[8]
First-principles (PBE) data for a relaxed TbMg2Rh crystal, as listed in Alexandria.

Output
Total magnetization ... 0.000 μB per atom
Volume ... 345.4 Å³ per cell
Energy of formation from the pure elements ... -0.481 eV per atom
Total energy ... -68.38 eV per cell

a b c (Å): 7.6720 8.2978 5.4264
angles (deg): 90.00 90.00 90.00
With the nearest neighbours (Å) after each atom.
Space group Pnma (No. 62)
Asymmetric unit:
Tb  0.0316  0.2500  0.0957  3 Rh 2.84-3.01
Mg  0.1684  0.0559  0.6057  3 Rh 2.75-2.80, 1 Mg 2.98
Rh  0.1264  0.7500  0.3975  6 Mg 2.75-2.80, 3 Tb 2.84-3.01

- What is the volume in the first record?
  314.9 Å³ per cell